# 1
# PmTl3Cr2S6

A relaxed structure of PmTl3Cr2S6 (PBE, Alexandria via LeMat-Bulk).

Output
Magnetization: 6.00 μB/f.u.
E_form (uncorrected): -0.814 eV/atom
N(E_F): 1.6 states/eV/f.u.

Lattice parameters (Å, degrees): 6.5471 11.2695 7.7796 90.00 106.37 90.00
Last column: nearest neighbours and their distance in Å.
Space group C2/m (No. 12)
Unique sites:
Pm: 0.0000 0.0000 0.0000 (multiplicity 2)  6 S 2.77-2.80
Tl: 0.0000 0.1563 0.5000 (multiplicity 4)  6 S 3.09-3.31
Tl: 0.0000 0.5000 0.5000 (multiplicity 2)  6 S 3.09-3.28
Cr: 0.0000 0.3336 0.0000 (multiplicity 4)  6 S 2.45-2.49
S: 0.1877 0.5000 0.1781 (multiplicity 4)  2 Cr 2.45
S: 0.2493 0.1859 0.1869 (multiplicity 8)  2 Cr 2.49



# 2
# BiN2O

A relaxed structure of BiN2O (PBE, Alexandria via LeMat-Bulk).

Output
Magnetization: 0.88 μB/f.u.
E_form (uncorrected): 1.811 eV/atom
N(E_F): 2.8 states/eV/f.u.
Energy relative to the lowest polymorph listed for this composition: 1977.3 meV/atom

Lattice parameters (Å, degrees): 3.5556 3.5556 13.4342 90.00 90.00 120.00
Last column: nearest neighbours and their distance in Å.
Space group R-3m (No. 166, hexagonal axes)
Unique sites:
Bi: 0.0000 0.0000 0.0000 (multiplicity 3)  6 N 2.33
N: 0.0000 0.0000 0.2518 (multiplicity 6)  3 Bi 2.33, 3 O 2.35
O: 0.0000 0.0000 0.5000 (multiplicity 3)  6 N 2.35



# 3
# LaY2Sc

A relaxed structure of LaY2Sc (PBE, Alexandria via LeMat-Bulk).

Output
Magnetization: 0.00 μB/f.u.
Calculated formation energy: 0.143 eV/atom
N(E_F): 8.0 states/eV/f.u.
Energy relative to the lowest polymorph listed for this composition: 109.1 meV/atom

Lattice parameters (Å, degrees): 3.7398 5.7912 11.6429 90.00 90.00 90.00
Last column: nearest neighbours and their distance in Å.
Space group Cmm2 (No. 35)
Unique sites:
La: 0.0000 0.0000 0.0000 (multiplicity 2)  2 Sc 3.40, 6 La 3.45-3.74, 2 Y 3.69
Y: 0.0000 0.0000 0.5252 (multiplicity 2)  2 Sc 3.27, 6 Y 3.45-3.48
Y: 0.0000 0.5000 0.2729 (multiplicity 2)  8 Y 3.45-3.74, 2 La 3.69
Sc: 0.0000 0.5000 0.7560 (multiplicity 2)  2 Y 3.27, 2 La 3.40, 4 Sc 3.45



# 4
# ErHfPS

A relaxed structure of ErHfPS (PBE, Alexandria via LeMat-Bulk).

Output
Magnetization: 0.00 μB/f.u.
E_form (uncorrected): -1.524 eV/atom
N(E_F): 1.4 states/eV/f.u.

Lattice parameters (Å, degrees): 3.7057 3.7057 19.7906 90.00 90.00 120.00
Last column: nearest neighbours and their distance in Å.
Space group R3m (No. 160, hexagonal axes)
Unique sites:
Er: 0.0000 0.0000 0.0000 (multiplicity 3)  3 P 2.68, 3 S 2.88
Hf: 0.0000 0.0000 0.1814 (multiplicity 3)  3 P 2.55, 3 S 2.71
P: 0.0000 0.0000 0.5847 (multiplicity 3)  3 Hf 2.55, 3 Er 2.68
S: 0.0000 0.0000 0.7638 (multiplicity 3)  3 Hf 2.71, 3 Er 2.88



# 5
# YTh3Ge4

A relaxed structure of YTh3Ge4 (PBE, Alexandria via LeMat-Bulk).

Output
Magnetization: 0.00 μB/f.u.
Calculated formation energy: -0.754 eV/atom
N(E_F): 4.9 states/eV/f.u.

Lattice parameters (Å, degrees): 7.3915 8.5069 7.4176 90.00 109.37 90.00
Last column: nearest neighbours and their distance in Å.
Space group P2/c (No. 13)
Unique sites:
Y: 0.0000 0.1248 0.2500 (multiplicity 2)  6 Ge 2.99-3.00
Th: 0.0000 0.3729 0.7500 (multiplicity 2)  6 Ge 3.01-3.02
Th: 0.5000 0.1240 0.7500 (multiplicity 2)  6 Ge 3.01-3.04
Th: 0.5000 0.3732 0.2500 (multiplicity 2)  6 Ge 3.02-3.05
Ge: 0.2463 0.1226 0.9996 (multiplicity 4)  2 Y 2.99-3.00, 4 Th 3.01-3.04
Ge: 0.2479 0.3740 0.4982 (multiplicity 4)  1 Y 3.00, 5 Th 3.02-3.05



# 6
# ZrOsAu4

A relaxed structure of ZrOsAu4 (PBE, Alexandria via LeMat-Bulk).

Output
Magnetization: 0.00 μB/f.u.
Calculated formation energy: 0.301 eV/atom
N(E_F): 6.6 states/eV/f.u.

Lattice parameters (Å, degrees): 7.6153 7.6153 7.6153 90.00 90.00 90.00
Last column: nearest neighbours and their distance in Å.
Space group F-43m (No. 216)
Unique sites:
Zr: 0.0000 0.0000 0.0000 (multiplicity 4)  12 Au 3.16, 4 Os 3.30
Os: 0.2500 0.2500 0.2500 (multiplicity 4)  12 Au 3.16, 4 Zr 3.30
Au: 0.1248 0.1248 0.6248 (multiplicity 16)  6 Au 2.69-2.70



# 7
# RbSn3Pb

A relaxed structure of RbSn3Pb (PBE, Alexandria via LeMat-Bulk).

Output
Magnetization: 0.00 μB/f.u.
Calculated formation energy: -0.075 eV/atom
N(E_F): 1.3 states/eV/f.u.
Energy relative to the lowest polymorph listed for this composition: 0.0 meV/atom

Lattice parameters (Å, degrees): 9.2945 9.7133 10.0630 90.00 119.99 90.00
Last column: nearest neighbours and their distance in Å.
Space group P2_1/c (No. 14)
Unique sites:
Rb: 0.1048 0.1379 0.1991 (multiplicity 4)  2 Pb 3.67-3.91, 5 Sn 3.76-4.11
Sn: 0.1769 0.5161 0.1108 (multiplicity 4)  3 Sn 2.91-3.01, 1 Pb 3.11
Sn: 0.3219 0.0122 0.9516 (multiplicity 4)  3 Sn 2.96-3.01, 1 Pb 3.14
Sn: 0.3742 0.7246 0.0679 (multiplicity 4)  2 Sn 2.91-2.97, 2 Pb 2.99-3.12
Pb: 0.4238 0.1942 0.6019 (multiplicity 4)  4 Sn 2.99-3.14



# 8
# Cs2GeSb

A relaxed structure of Cs2GeSb (PBE, Alexandria via LeMat-Bulk).

Output
Magnetization: 0.00 μB/f.u.
E_form (uncorrected): -0.300 eV/atom
N(E_F): 2.1 states/eV/f.u.
Energy relative to the lowest polymorph listed for this composition: 0.0 meV/atom

Lattice parameters (Å, degrees): 4.2421 6.3380 12.3709 90.00 90.00 90.00
Last column: nearest neighbours and their distance in Å.
Space group Imm2 (No. 44)
Unique sites:
Cs: 0.0000 0.0000 0.0000 (multiplicity 2)  4 Ge 3.92, 6 Cs 3.98-4.33, 4 Sb 4.11-4.15
Cs: 0.0000 0.5000 0.1944 (multiplicity 2)  4 Ge 3.95-4.27, 6 Cs 3.98-4.33, 4 Sb 3.99
Ge: 0.0000 0.0000 0.4255 (multiplicity 2)  2 Sb 2.71
Sb: 0.0000 0.5000 0.7886 (multiplicity 2)  2 Ge 2.71